Record 1
Compound: CoHgPt2
Source: Alexandria
Functional: PBE-GGA
Structure: optimized geometry

Structure (POSCAR):
```
CoHgPt2
1.0
-1.4271 2.3663 4.7695
1.4271 -2.3663 4.7695
1.4271 2.3663 -4.7695
Co Hg Pt
1 1 2
direct
0.0000 0.0000 0.0000
0.2503 0.7503 0.5000
0.5213 0.5213 0.0000
0.7794 0.2794 0.5000
```

Results
Volume in Å³ per cell: 64
Crystal system: orthorhombic
E_form in eV per atom: 0.197
M_tot in Bohr magnetons per cell: 2.24

Record 2
Compound: K2CaMo
Source: Alexandria
Functional: PBE-GGA
Structure: optimized geometry

Structure (POSCAR):
```
K2CaMo
1.0
5.2489 -1.7927 0.0000
5.2489 1.7927 0.0000
-0.6508 0.0000 9.4411
K Ca Mo
2 1 1
direct
0.0000 0.0000 0.0000
0.2305 0.2305 0.6403
0.7600 0.7600 0.2731
0.4938 0.4938 0.3846
```

Results
E above lowest polymorph in meV/atom: 141
Volume in Å³ per cell: 178
Crystal system: monoclinic
E_form in eV per atom: 1.086
M_tot in Bohr magnetons per cell: 3.78

Record 3
Compound: Al2O3
Source: Alexandria
Functional: PBE-GGA
Structure: optimized geometry

Structure (POSCAR):
```
Al2O3
1.0
4.8843 0.0000 0.0000
0.0000 8.3962 0.0000
0.0000 0.0000 9.0258
Al O
16 24
direct
0.1729 0.0311 0.2114
0.1769 0.3476 0.4123
0.1839 0.6601 0.2214
0.1862 0.3464 0.0000
0.3138 0.8464 0.5000
0.3161 0.1601 0.7214
0.3231 0.8476 0.9123
0.3271 0.5311 0.7114
0.6729 0.4689 0.2114
0.6769 0.1524 0.4123
0.6839 0.8399 0.2214
0.6862 0.1536 0.0000
0.8138 0.6536 0.5000
0.8161 0.3399 0.7214
0.8231 0.6524 0.9123
0.8271 0.9689 0.7114
0.0183 0.1689 0.3527
0.0212 0.8242 0.3401
0.0222 0.4884 0.8470
0.1565 0.3391 0.6111
0.1571 0.6688 0.5853
0.1572 0.9988 0.6176
0.3429 0.1688 0.0853
0.3428 0.4988 0.1176
0.3435 0.8391 0.1111
0.4778 0.9884 0.3470
0.4788 0.3242 0.8401
0.4817 0.6689 0.8527
0.5183 0.3311 0.3527
0.5212 0.6758 0.3401
0.5222 0.0116 0.8470
0.6565 0.1609 0.6111
0.6572 0.5012 0.6176
0.6571 0.8312 0.5853
0.8428 0.0012 0.1176
0.8429 0.3312 0.0853
0.8435 0.6609 0.1111
0.9778 0.5117 0.3470
0.9788 0.1758 0.8401
0.9817 0.8311 0.8527
```

Results
Volume in Å³ per cell: 370
Formation energy (no corrections) in meV per atom: -2992
Crystal system: orthorhombic
M_tot in Bohr magnetons per cell: 0.00

Record 4
Compound: TmUFe2
Source: Alexandria
Functional: PBE-GGA
Structure: optimized geometry

Structure (POSCAR):
```
TmUFe2
1.0
3.2425 0.0000 0.0000
0.0000 3.2425 0.0000
0.0000 0.0000 6.6837
Tm U Fe
1 1 2
direct
0.0000 0.0000 0.0000
0.0000 0.0000 0.5000
0.5000 0.5000 0.3011
0.5000 0.5000 0.6989
```

Results
Volume in Å³ per cell: 70
Crystal system: tetragonal
E_form in eV per atom: -0.050
M_tot in Bohr magnetons per cell: 0.56

Record 5
Compound: InPt
Source: Alexandria
Functional: PBE-GGA
Structure: optimized geometry

Structure (POSCAR):
```
InPt
1.0
-4.0834 4.0834 4.0834
4.0834 -4.0834 4.0834
4.0834 4.0834 -4.0834
In Pt
4 4
direct
0.0000 0.0000 0.6029
0.0000 0.6029 0.0000
0.3971 0.3971 0.3971
0.6029 0.0000 0.0000
0.0000 0.0000 0.2410
0.0000 0.2410 0.0000
0.2410 0.0000 0.0000
0.7590 0.7590 0.7590
```

Results
Volume in Å³ per cell: 272
Crystal system: cubic
E_form in eV per atom: -0.045
M_tot in Bohr magnetons per cell: 0.00

Record 6
Compound: ScAg2W
Source: Alexandria
Functional: PBE-GGA
Structure: optimized geometry

Structure (POSCAR):
```
ScAg2W
1.0
4.8723 -1.4119 0.0000
4.8723 1.4119 0.0000
-0.8705 0.0000 5.2189
Sc Ag W
1 2 1
direct
0.0000 0.0000 0.0000
0.5083 0.5083 0.5097
0.7580 0.7580 0.2540
0.2597 0.2597 0.7440
```

Results
E above lowest polymorph in meV/atom: 150
Volume in Å³ per cell: 72
Crystal system: monoclinic
E_form in eV per atom: 0.348
M_tot in Bohr magnetons per cell: 0.00

Record 7
Compound: UMnS
Source: Alexandria
Functional: PBE-GGA
Structure: optimized geometry

Structure (POSCAR):
```
UMnS
1.0
1.9064 -7.4947 0.0000
1.9064 7.4947 0.0000
0.0000 0.0000 3.7392
U Mn S
2 2 2
direct
0.1256 0.8744 0.7500
0.8744 0.1256 0.2500
0.4654 0.5346 0.7500
0.5346 0.4654 0.2500
0.3162 0.6838 0.7500
0.6838 0.3162 0.2500
```

Results
Volume in Å³ per cell: 107
Formation energy (no corrections) in meV per atom: -576
Crystal system: orthorhombic
M_tot in Bohr magnetons per cell: 2.45

Record 8
Compound: KGaHg2N
Source: Alexandria
Functional: PBE-GGA
Structure: optimized geometry

Structure (POSCAR):
```
KGaHg2N
1.0
6.2885 0.0000 0.0000
0.0000 6.2885 0.0000
0.0000 0.0000 3.5575
K Ga Hg N
1 1 2 1
direct
0.0000 0.0000 0.0000
0.5000 0.5000 0.5000
0.0000 0.5000 0.5000
0.5000 0.0000 0.5000
0.5000 0.5000 0.0000
```

Results
Volume in Å³ per cell: 141
Formation energy (no corrections) in meV per atom: 225
Crystal system: tetragonal
M_tot in Bohr magnetons per cell: 0.00

Record 9
Compound: SrCdP2O6
Source: Alexandria
Functional: PBE-GGA
Structure: optimized geometry

Structure (POSCAR):
```
SrCdP2O6
1.0
2.7038 1.5610 6.0432
-2.7038 1.5610 6.0432
0.0000 -3.1221 6.0432
Sr Cd P O
1 1 2 6
direct
0.0000 0.0000 0.0000
0.5000 0.5000 0.5000
0.2624 0.2624 0.2624
0.7376 0.7376 0.7376
0.0404 0.7512 0.4833
0.2488 0.5167 0.9596
0.4833 0.0404 0.7512
0.5167 0.9596 0.2488
0.7512 0.4833 0.0404
0.9596 0.2488 0.5167
```

Results
Volume in Å³ per cell: 153
Formation energy (no corrections) in meV per atom: -1926
Crystal system: trigonal
M_tot in Bohr magnetons per cell: 1.83

Record 10
Compound: Zr3NiGe2
Source: Alexandria
Functional: PBE-GGA
Structure: optimized geometry

Structure (POSCAR):
```
Zr3NiGe2
1.0
10.8355 0.0000 0.0000
0.0000 3.9289 0.0000
0.0000 0.0000 10.4717
Zr Ni Ge
12 4 8
direct
0.0450 0.2500 0.1217
0.1223 0.7500 0.5671
0.2086 0.2500 0.8095
0.2914 0.7500 0.3095
0.3777 0.2500 0.0671
0.4550 0.7500 0.6217
0.5450 0.2500 0.3783
0.6223 0.7500 0.9329
0.7086 0.2500 0.6905
0.7914 0.7500 0.1905
0.8777 0.2500 0.4329
0.9550 0.7500 0.8783
0.1382 0.2500 0.3617
0.3618 0.7500 0.8617
0.6382 0.2500 0.1383
0.8618 0.7500 0.6383
0.0203 0.7500 0.3142
0.1915 0.7500 0.0112
0.3085 0.2500 0.5112
0.4797 0.2500 0.8142
0.5203 0.7500 0.1858
0.6915 0.7500 0.4888
0.8085 0.2500 0.9888
0.9797 0.2500 0.6858
```

Results
Volume in Å³ per cell: 446
Crystal system: orthorhombic
E_form in eV per atom: -0.742
M_tot in Bohr magnetons per cell: 0.00

Record 11
Compound: CuAu2Br
Source: Alexandria
Functional: PBE-GGA
Structure: optimized geometry

Structure (POSCAR):
```
CuAu2Br
1.0
4.4026 -1.6959 0.0000
4.4026 1.6959 0.0000
-0.9996 0.0000 6.3701
Cu Au Br
1 2 1
direct
0.0000 0.0000 0.0000
0.4628 0.4628 0.3187
0.7259 0.7259 0.1486
0.4234 0.4234 0.7204
```

Results
E above lowest polymorph in meV/atom: 38
Volume in Å³ per cell: 95
Formation energy (no corrections) in meV per atom: 94
Crystal system: monoclinic
M_tot in Bohr magnetons per cell: 0.00

Record 12
Compound: TaRuN
Source: Alexandria
Functional: PBE-GGA
Structure: optimized geometry

Structure (POSCAR):
```
TaRuN
1.0
3.1345 0.0000 0.0000
0.0000 4.7479 0.0000
-1.0932 0.0000 5.1683
Ta Ru N
2 2 2
direct
0.1153 0.0000 0.2514
0.8847 0.5000 0.7486
0.4653 0.0197 0.8271
0.5347 0.5197 0.1729
0.3218 0.7032 0.5539
0.6782 0.2032 0.4461
```

Results
E above lowest polymorph in meV/atom: 45
Volume in Å³ per cell: 77
Formation energy (no corrections) in meV per atom: -494
Crystal system: monoclinic
M_tot in Bohr magnetons per cell: 0.00

- Look up the M_tot of the eighth one.
  0.00 Bohr magnetons per cell